BaNa2MnO4 | GGA+U | relaxed

Cell: 5.889 5.889 7.170 Å, 90.00 90.00 90.00°
Space group I-42m (No. 121)
Symmetry-distinct sites (fractional):
Ba (0.000, 0.000, 0.000) [2 per cell]
Na (0.000, 0.500, 0.250) [4 per cell]
Mn (0.000, 0.000, 0.500) [2 per cell]
O (0.189, 0.189, 0.370) [8 per cell]

Output
* DOS(E_F): 0.8001 states/eV per atom
* calculated volume: 248.6 Å³/cell
* total DFT energy (no corrections): -5.672 eV per atom